[1]
The following is a GGA-PBEsol calculation of a relaxed Mn2CrW crystal, from the Alexandria database.

Results
The value obtained for the magnetization is 1.90 μB/f.u. As for the space-group type: Pmmm (47). The calculated formation energy is 127 meV per atom.

Lattice parameters (Å, degrees): 2.951 4.028 4.119 90.00 90.00 90.00
Fractional coordinates of all 4 atoms:
1 Mn 0.000 0.000 0.000
2 Mn 0.500 0.000 0.500
3 Cr 0.000 0.500 0.500
4 W 0.500 0.500 0.000


[2]
The following is a GGA-PBEsol calculation of a relaxed MnCrW crystal, from the Alexandria database.

Results
The value obtained for the magnetization is 0.98 μB/f.u. As for the space-group type: P3m1 (156). The calculated formation energy is 181 meV per atom.

Lattice parameters (Å, degrees): 4.112 4.112 2.585 90.00 90.00 120.00
Fractional coordinates of all 3 atoms:
1 Mn 0.000 0.000 0.000
2 Cr 0.667 0.333 0.669
3 W 0.333 0.667 0.342


[3]
The following is a GGA-PBEsol calculation of a relaxed Mn2CrW crystal, from the Alexandria database.

Results
The value obtained for the magnetization is 2.14 μB/f.u. As for the space-group type: Cmm2 (35). The calculated formation energy is 204 meV per atom.

Lattice parameters (Å, degrees): 2.554 2.554 7.879 90.00 90.00 108.12
Fractional coordinates of all 4 atoms:
1 Mn 0.000 0.000 0.000
2 Mn 0.500 0.500 0.230
3 Cr 0.500 0.500 0.767
4 W 0.000 0.000 0.495


[4]
The following is a GGA-PBEsol calculation of a relaxed Mn4CrW crystal, from the Alexandria database.

Results
The value obtained for the magnetization is 0.00 μB/f.u. As for the space-group type: F-43m (216). The calculated formation energy is 30 meV per atom.

Lattice parameters (Å, degrees): 4.598 4.598 4.598 60.00 60.00 60.00
Fractional coordinates of all 6 atoms:
1 Mn 0.125 0.125 0.125
2 Mn 0.125 0.125 0.626
3 Mn 0.125 0.626 0.125
4 Mn 0.626 0.125 0.125
5 Cr 0.750 0.750 0.750
6 W 0.500 0.500 0.500


[5]
The following is a GGA-PBEsol calculation of a relaxed Mn2CrW crystal, from the Alexandria database.

Results
The value obtained for the magnetization is 1.70 μB/f.u. As for the space-group type: Pm (6). The calculated formation energy is 173 meV per atom.

Lattice parameters (Å, degrees): 2.546 4.046 4.787 90.00 100.41 90.00
Fractional coordinates of all 4 atoms:
1 Mn 0.000 0.000 0.000
2 Mn 0.298 0.500 0.751
3 Cr 0.533 0.000 0.530
4 W 0.771 0.500 0.253


[6]
The following is a GGA-PBEsol calculation of a relaxed Y2MnCr crystal, from the Alexandria database.

Results
The value obtained for the magnetization is 6.25 μB/f.u. As for the space-group type: I4/mmm (139). The calculated formation energy is 430 meV per atom.

Lattice parameters (Å, degrees): 4.906 4.906 4.906 119.88 119.88 90.20
Fractional coordinates of all 4 atoms:
1 Y 0.250 0.750 0.500
2 Y 0.750 0.250 0.500
3 Mn 0.000 0.000 0.000
4 Cr 0.500 0.500 0.000


- Which value of magnetization does entry 1 give?
  1.90 μB/f.u.


- The highest magnetization belongs to which entry?
  Y2MnCr


Copy entry 5 word for word.
The following is a GGA-PBEsol calculation of a relaxed Mn2CrW crystal, from the Alexandria database.

Results
The value obtained for the magnetization is 1.70 μB/f.u. As for the space-group type: Pm (6). The calculated formation energy is 173 meV per atom.

Lattice parameters (Å, degrees): 2.546 4.046 4.787 90.00 100.41 90.00
Fractional coordinates of all 4 atoms:
1 Mn 0.000 0.000 0.000
2 Mn 0.298 0.500 0.751
3 Cr 0.533 0.000 0.530
4 W 0.771 0.500 0.253


- magnetization of number 5 (Mn2CrW)?
  1.70 μB/f.u.